Computed, not measured: a relaxed In2PRh crystal at the PBE-GGA level of DFT.

abc: 4.730 4.730 4.730
angles: 60.00 60.00 60.00
Fractional positions:
Rh 0.250 0.250 0.250
In 0.000 0.000 0.000
In 0.750 0.750 0.750
P 0.500 0.500 0.500

* E_form: 0.234 eV/atom
* space-group type: F-43m (216)
* crystal system: cubic

Computed, not measured: a relaxed CdNi4Pt5 crystal at the PBE-GGA level of DFT.

abc: 2.773 2.773 18.528
angles: 90.00 90.00 90.00
Fractional positions:
Pt 0.500 0.500 0.883
Pt 0.500 0.500 0.692
Pt 0.500 0.500 0.308
Pt 0.500 0.500 0.117
Pt 0.500 0.500 0.500
Cd 0.000 0.000 0.000
Ni 0.000 0.000 0.213
Ni 0.000 0.000 0.596
Ni 0.000 0.000 0.787
Ni 0.000 0.000 0.404

* E_form: -0.119 eV/atom
* space-group type: P4/mmm (123)
* crystal system: tetragonal

Computed, not measured: a relaxed CaDy2ErBi4 crystal at the PBE-GGA level of DFT.

abc: 4.470 7.813 7.826
angles: 70.90 90.00 90.00
Fractional positions:
Dy 0.500 0.000 0.500
Dy 0.000 0.000 0.000
Er 0.500 0.500 0.000
Bi 0.500 0.755 0.244
Bi 0.500 0.245 0.756
Bi 0.000 0.249 0.246
Bi 0.000 0.751 0.754
Ca 0.000 0.500 0.500

* E_form: -0.793 eV/atom
* space-group type: P2/m (10)
* crystal system: monoclinic

Computed, not measured: a relaxed K5In2S5 crystal at the PBE-GGA level of DFT.

abc: 4.377 7.498 11.980
angles: 105.92 90.00 106.97
Fractional positions:
S 0.105 0.210 0.378
S 0.895 0.790 0.622
S 0.647 0.294 0.794
S 0.353 0.706 0.206
S 0.000 0.000 0.000
K 0.660 0.319 0.066
K 0.758 0.516 0.365
K 0.242 0.484 0.635
K 0.500 0.000 0.500
K 0.340 0.681 0.934
In 0.962 0.924 0.204
In 0.038 0.076 0.796

* formation energy (no corrections): -939 meV/atom
* space-group type: C2/m (12)
* crystal system: monoclinic

Computed, not measured: a relaxed Tb4Ge8Ir crystal at the PBE-GGA level of DFT.

abc: 4.052 4.163 16.257
angles: 90.00 90.00 90.00
Fractional positions:
Ge 0.500 0.000 0.231
Ge 0.500 0.500 0.754
Ge 0.000 0.000 0.750
Ge 0.500 0.500 0.046
Ge 0.000 0.500 0.942
Ge 0.000 0.000 0.465
Ge 0.500 0.000 0.565
Ge 0.000 0.500 0.233
Tb 0.500 0.000 0.895
Tb 0.000 0.000 0.099
Tb 0.000 0.500 0.609
Tb 0.500 0.500 0.399
Ir 0.000 0.000 0.316

* E_form: -0.638 eV/atom
* space-group type: Pmm2 (25)
* crystal system: orthorhombic

Computed, not measured: a relaxed Tb6Ga2Rh crystal at the PBE-GGA level of DFT.

abc: 4.939 7.027 8.493
angles: 114.44 106.92 90.00
Fractional positions:
Tb 0.840 0.085 0.679
Tb 0.160 0.406 0.321
Tb 0.840 0.594 0.679
Tb 0.160 0.915 0.321
Tb 0.500 0.240 0.000
Tb 0.500 0.760 0.000
Ga 0.668 0.668 0.336
Ga 0.332 0.332 0.664
Rh 0.000 0.000 0.000

* E_form: -0.353 eV/atom
* space-group type: Immm (71)
* crystal system: orthorhombic

Computed, not measured: a relaxed Sr4PuTl5 crystal at the PBE-GGA level of DFT.

abc: 4.017 4.017 20.483
angles: 90.00 90.00 90.00
Fractional positions:
Tl 0.500 0.500 0.090
Tl 0.500 0.500 0.910
Tl 0.500 0.500 0.500
Tl 0.500 0.500 0.297
Tl 0.500 0.500 0.703
Sr 0.000 0.000 0.398
Sr 0.000 0.000 0.806
Sr 0.000 0.000 0.602
Sr 0.000 0.000 0.194
Pu 0.000 0.000 0.000

* E_form: -0.322 eV/atom
* space-group type: P4/mmm (123)
* crystal system: tetragonal

Computed, not measured: a relaxed SiI2Cl2 crystal at the PBE-GGA level of DFT.

abc: 7.582 7.582 5.159
angles: 90.00 90.00 90.00
Fractional positions:
Cl 0.828 0.328 0.500
Cl 0.672 0.828 0.500
Cl 0.172 0.672 0.500
Cl 0.328 0.172 0.500
I 0.338 0.838 0.000
I 0.662 0.162 0.000
I 0.838 0.662 0.000
I 0.162 0.338 0.000
Si 0.500 0.500 0.000
Si 0.000 0.000 0.000

* formation energy (no corrections): 393 meV/atom
* space-group type: P4/mbm (127)
* distance to the lowest polymorph of the same formula: 61 meV/atom
* crystal system: tetragonal

Computed, not measured: a relaxed PaTlCu2Te4 crystal at the PBE-GGA level of DFT.

abc: 7.175 6.744 6.744
angles: 72.80 57.86 57.86
Fractional positions:
Te 0.052 0.917 0.478
Te 0.948 0.522 0.083
Te 0.446 0.083 0.522
Te 0.554 0.478 0.917
Cu 0.151 0.349 0.349
Cu 0.849 0.651 0.651
Pa 0.500 0.500 0.500
Tl 0.000 0.000 0.000

* formation energy (no corrections): -221 meV/atom
* space-group type: I222 (23)
* crystal system: orthorhombic

Computed, not measured: a relaxed LiLuGaPt crystal at the PBE-GGA level of DFT.

abc: 4.596 4.596 4.596
angles: 60.00 60.00 60.00
Fractional positions:
Lu 0.000 0.000 0.000
Li 0.250 0.250 0.250
Pt 0.750 0.750 0.750
Ga 0.500 0.500 0.500

* E_form: -0.817 eV/atom
* space-group type: F-43m (216)
* crystal system: cubic

Computed, not measured: a relaxed Be2CrTe crystal at the PBE-GGA level of DFT.

abc: 4.758 4.758 4.770
angles: 134.54 134.54 66.01
Fractional positions:
Be 0.000 0.000 0.000
Be 0.500 0.500 0.000
Cr 0.750 0.250 0.500
Te 0.250 0.750 0.500

* formation energy (no corrections): 540 meV/atom
* space-group type: Fmmm (69)
* crystal system: orthorhombic

Computed, not measured: a relaxed ScVRu crystal at the PBE-GGA level of DFT.

abc: 2.983 4.298 4.298
angles: 120.00 90.00 90.00
Fractional positions:
Ru 0.705 0.667 0.333
V 0.946 0.000 0.000
Sc 0.349 0.333 0.667

* E_form: -0.165 eV/atom
* space-group type: P3m1 (156)
* distance to the lowest polymorph of the same formula: 179 meV/atom
* crystal system: trigonal

Computed, not measured: a relaxed FeIr6Rh3 crystal at the PBE-GGA level of DFT.

abc: 3.841 8.577 8.601
angles: 90.20 90.00 90.00
Fractional positions:
Fe 0.750 0.053 0.398
Fe 0.250 0.947 0.602
Ir 0.750 0.761 0.502
Ir 0.250 0.857 0.307
Ir 0.250 0.652 0.699
Ir 0.750 0.348 0.301
Ir 0.250 0.239 0.498
Ir 0.750 0.851 0.798
Ir 0.250 0.451 0.101
Ir 0.750 0.143 0.693
Ir 0.250 0.149 0.202
Ir 0.750 0.952 0.103
Ir 0.250 0.048 0.897
Ir 0.750 0.549 0.899
Rh 0.750 0.250 0.001
Rh 0.750 0.448 0.598
Rh 0.250 0.552 0.402
Rh 0.250 0.348 0.799
Rh 0.250 0.750 0.999
Rh 0.750 0.652 0.201

* E_form: -0.024 eV/atom
* space-group type: P2_1/m (11)
* distance to the lowest polymorph of the same formula: 0 meV/atom
* crystal system: monoclinic

Computed, not measured: a relaxed Ta2TeAs crystal at the PBE-GGA level of DFT.

abc: 3.311 3.311 6.729
angles: 90.00 90.00 90.00
Fractional positions:
Ta 0.000 0.000 0.970
Ta 0.000 0.000 0.530
Te 0.500 0.500 0.250
As 0.500 0.500 0.750

* formation energy (no corrections): -62 meV/atom
* space-group type: P4/mmm (123)
* crystal system: tetragonal

Computed, not measured: a relaxed DyAgPd3 crystal at the PBE-GGA level of DFT.

abc: 5.323 6.586 6.586
angles: 119.94 90.00 90.00
Fractional positions:
Pd 0.250 0.799 0.201
Pd 0.250 0.401 0.201
Pd 0.750 0.201 0.401
Pd 0.250 0.799 0.599
Pd 0.750 0.599 0.799
Pd 0.750 0.201 0.799
Ag 0.000 0.000 0.000
Ag 0.500 0.000 0.000
Dy 0.250 0.333 0.667
Dy 0.750 0.667 0.333

* E_form: -0.325 eV/atom
* space-group type: P6_3/mmc (194)
* distance to the lowest polymorph of the same formula: 169 meV/atom
* crystal system: hexagonal

Computed, not measured: a relaxed SrEuMgGe crystal at the PBE-GGA level of DFT.

abc: 5.506 5.506 5.506
angles: 60.00 60.00 60.00
Fractional positions:
Ge 0.250 0.250 0.250
Mg 0.750 0.750 0.750
Eu 0.000 0.000 0.000
Sr 0.500 0.500 0.500

* E_form: -0.322 eV/atom
* space-group type: F-43m (216)
* crystal system: cubic

Computed, not measured: a relaxed La2PmHo2 crystal at the PBE-GGA level of DFT.

abc: 6.494 6.494 11.680
angles: 96.60 96.60 125.91
Fractional positions:
Pm 0.500 0.500 0.000
Pm 0.750 0.250 0.500
Ho 0.125 0.375 0.750
Ho 0.625 0.375 0.250
Ho 0.625 0.375 0.750
Ho 0.625 0.875 0.250
La 0.156 0.844 0.000
La 0.844 0.156 0.000
La 0.094 0.906 0.500
La 0.406 0.594 0.500

* E_form: 0.454 eV/atom
* space-group type: Fddd (70)
* distance to the lowest polymorph of the same formula: 272 meV/atom
* crystal system: orthorhombic

Computed, not measured: a relaxed Ce7Pu2Rh2 crystal at the PBE-GGA level of DFT.

abc: 4.476 8.042 8.042
angles: 82.58 73.86 73.86
Fractional positions:
Rh 0.500 0.756 0.244
Rh 0.500 0.244 0.756
Ce 0.624 0.376 0.376
Ce 0.165 0.575 0.095
Ce 0.165 0.095 0.575
Ce 0.000 0.000 0.000
Ce 0.835 0.425 0.905
Ce 0.376 0.624 0.624
Ce 0.835 0.905 0.425
Pu 0.659 0.841 0.841
Pu 0.341 0.159 0.159

* E_form: -0.159 eV/atom
* space-group type: Immm (71)
* distance to the lowest polymorph of the same formula: 0 meV/atom
* crystal system: orthorhombic